No. 1
Density functional theory data (PBE) for Be2SnS after structural relaxation.

POSCAR file:
```
Be2SnS
1.0
5.545 0.000 0.000
0.000 5.545 0.000
0.000 0.000 9.437
Be Sn S
8 4 4
direct
0.185 0.250 0.125
0.250 0.685 0.375
0.250 0.815 0.875
0.315 0.250 0.625
0.685 0.750 0.625
0.750 0.185 0.875
0.750 0.315 0.375
0.815 0.750 0.125
0.000 0.000 0.500
0.000 0.500 0.750
0.500 0.000 0.250
0.500 0.500 0.000
0.000 0.000 0.000
0.000 0.500 0.250
0.500 0.000 0.750
0.500 0.500 0.500
```

Values from the calculation:
E_form (uncorrected) in meV/atom: -79.1
Space group: No. 122
Volume in A^3/atom: 18.13
Total energy in eV per cell: -63.597

***

No. 2
Density functional theory data (PBE) for Be3SnS after structural relaxation.

POSCAR file:
```
Be3SnS
1.0
4.579 0.000 0.000
0.000 4.579 0.000
0.000 0.000 4.579
Be Sn S
3 1 1
direct
0.000 0.000 0.500
0.000 0.500 0.000
0.500 0.000 0.000
0.000 0.000 0.000
0.500 0.500 0.500
```

Values from the calculation:
E_form (uncorrected) in meV/atom: 1040.0
Space group: No. 221
Volume in A^3/atom: 19.21
Total energy in eV per cell: -14.109

***

No. 3
Density functional theory data (PBE) for BeSnS2 after structural relaxation.

POSCAR file:
```
BeSnS2
1.0
4.371 0.000 0.000
-2.185 3.785 0.000
0.000 0.000 19.991
Be Sn S
3 3 6
direct
0.000 0.000 0.000
0.333 0.667 0.667
0.667 0.333 0.333
0.000 0.000 0.500
0.333 0.667 0.167
0.667 0.333 0.833
0.000 0.000 0.094
0.000 0.000 0.906
0.333 0.667 0.573
0.333 0.667 0.761
0.667 0.333 0.239
0.667 0.333 0.427
```

Values from the calculation:
E_form (uncorrected) in meV/atom: -384.0
Space group: No. 166
Volume in A^3/atom: 27.56
Total energy in eV per cell: -52.560

***

No. 4
Density functional theory data (PBE) for BeSnS2 after structural relaxation.

POSCAR file:
```
BeSnS2
1.0
3.400 0.000 0.000
-1.700 2.945 0.000
0.000 0.000 22.276
Be Sn S
3 3 6
direct
0.000 0.000 0.000
0.333 0.667 0.667
0.667 0.333 0.333
0.000 0.000 0.500
0.333 0.667 0.167
0.667 0.333 0.833
0.000 0.000 0.385
0.000 0.000 0.615
0.333 0.667 0.052
0.333 0.667 0.282
0.667 0.333 0.718
0.667 0.333 0.948
```

Values from the calculation:
E_form (uncorrected) in meV/atom: -234.0
Space group: No. 166
Volume in A^3/atom: 18.59
Total energy in eV per cell: -50.760

***

No. 5
Density functional theory data (PBE) for TaBe2SnS after structural relaxation.

POSCAR file:
```
TaBe2SnS
1.0
4.619 0.000 0.000
0.000 4.619 0.000
0.000 0.000 5.485
Ta Be Sn S
1 2 1 1
direct
0.000 0.000 0.000
0.000 0.500 0.000
0.500 0.000 0.000
0.000 0.000 0.500
0.500 0.500 0.500
```

Values from the calculation:
E_form (uncorrected) in meV/atom: 1512.3
Space group: No. 123
Volume in A^3/atom: 23.41
Total energy in eV per cell: -19.874

***

No. 6
Density functional theory data (PBE) for BeSn2TeS after structural relaxation.

POSCAR file:
```
BeSn2TeS
1.0
5.979 0.000 0.000
0.000 5.979 0.000
0.000 0.000 4.377
Be Sn Te S
1 2 1 1
direct
0.000 0.000 0.000
0.000 0.500 0.500
0.500 0.000 0.500
0.000 0.000 0.500
0.500 0.500 0.000
```

Values from the calculation:
E_form (uncorrected) in meV/atom: 835.5
Space group: No. 123
Volume in A^3/atom: 31.29
Total energy in eV per cell: -14.824

***

No. 7
Density functional theory data (PBE) for BeTl2SnS4 after structural relaxation.

POSCAR file:
```
BeTl2SnS4
1.0
6.958 0.000 0.000
0.000 6.958 0.000
0.000 0.000 8.508
Be Tl Sn S
2 4 2 8
direct
0.000 0.000 0.000
0.500 0.500 0.500
0.000 0.000 0.500
0.000 0.500 0.750
0.500 0.000 0.250
0.500 0.500 0.000
0.000 0.500 0.250
0.500 0.000 0.750
0.148 0.232 0.109
0.232 0.852 0.891
0.268 0.648 0.391
0.352 0.268 0.609
0.648 0.732 0.609
0.732 0.352 0.391
0.768 0.148 0.891
0.852 0.768 0.109
```

Values from the calculation:
E_form (uncorrected) in meV/atom: -513.4
Space group: No. 82
Volume in A^3/atom: 25.74
Total energy in eV per cell: -66.157

***

No. 8
Density functional theory data (PBE) for BeSnW2S after structural relaxation.

POSCAR file:
```
BeSnW2S
1.0
4.411 0.000 0.000
0.000 4.411 0.000
0.000 0.000 5.227
Be Sn W S
1 1 2 1
direct
0.000 0.000 0.000
0.500 0.500 0.000
0.000 0.500 0.500
0.500 0.000 0.500
0.500 0.500 0.500
```

Values from the calculation:
E_form (uncorrected) in meV/atom: 1439.5
Space group: No. 123
Volume in A^3/atom: 20.34
Total energy in eV per cell: -30.565